1.
A geometry-optimized Cd5Si structure. Source: Alexandria via LeMat-Bulk, functional GGA-PBE.

## Properties
The raw formation energy is 0.158 eV per atom. The total magnetization comes out at 0.000 μB per formula unit. The energy is -9.1 eV per cell. The value obtained for the density of states at the Fermi level is 1.5 states/eV/f.u. As for the distance to the lowest polymorph of the same formula: 0 meV/atom.

Cell and atoms, written as POSCAR:
```
Cd5Si
1.0
1.562 6.430 -0.672
-1.562 6.430 -0.672
0.000 1.918 6.234
Cd Si
5 1
direct
0.341 0.341 0.836 Cd
0.000 0.000 0.500 Cd
0.659 0.659 0.164 Cd
0.664 0.664 0.684 Cd
0.336 0.336 0.316 Cd
0.000 0.000 0.000 Si
```



2.
A geometry-optimized Cd3Si5 structure. Source: Alexandria via LeMat-Bulk, functional GGA-PBE.

## Properties
The raw formation energy is 0.378 eV per atom. The total magnetization comes out at 0.000 μB per formula unit. The energy is -26.8 eV per cell. The value obtained for the density of states at the Fermi level is 2.3 states/eV/f.u. As for the distance to the lowest polymorph of the same formula: 0 meV/atom.

Cell and atoms, written as POSCAR:
```
Cd3Si5
1.0
-1.736 2.857 0.110
-2.787 -1.662 -0.812
-2.915 -2.341 14.804
Cd Si
3 5
direct
0.000 0.000 0.500 Cd
0.500 0.500 0.114 Cd
0.500 0.500 0.886 Cd
0.000 0.000 0.000 Si
0.000 0.000 0.331 Si
0.000 0.000 0.669 Si
0.500 0.500 0.284 Si
0.500 0.500 0.716 Si
```



3.
A geometry-optimized Cd4Si structure. Source: Alexandria via LeMat-Bulk, functional GGA-PBE.

## Properties
The raw formation energy is 0.280 eV per atom. The total magnetization comes out at 0.000 μB per formula unit. The energy is -7.7 eV per cell. The value obtained for the density of states at the Fermi level is 2.9 states/eV/f.u. As for the distance to the lowest polymorph of the same formula: 65 meV/atom.

Cell and atoms, written as POSCAR:
```
Cd4Si
1.0
-3.159 3.159 3.159
3.159 -3.159 3.159
3.159 3.159 -3.159
Cd Si
4 1
direct
0.500 0.000 0.000 Cd
0.500 0.500 0.500 Cd
0.000 0.500 0.000 Cd
0.000 0.000 0.500 Cd
0.000 0.000 0.000 Si
```



4.
A geometry-optimized CdSi2 structure. Source: Alexandria via LeMat-Bulk, functional GGA-PBE.

## Properties
The raw formation energy is 0.499 eV per atom. The total magnetization comes out at 0.000 μB per formula unit. The energy is -10.3 eV per cell. The value obtained for the density of states at the Fermi level is 1.2 states/eV/f.u. As for the distance to the lowest polymorph of the same formula: 162 meV/atom.

Cell and atoms, written as POSCAR:
```
CdSi2
1.0
-1.836 5.798 -3.727
-2.680 3.514 -5.599
-4.536 4.394 -3.316
Cd Si
1 2
direct
0.002 0.002 0.002 Cd
0.790 0.790 0.790 Si
0.541 0.541 0.541 Si
```



5.
A geometry-optimized CdSi3 structure. Source: Alexandria via LeMat-Bulk, functional GGA-PBE.

## Properties
The raw formation energy is 0.622 eV per atom. The total magnetization comes out at 0.000 μB per formula unit. The energy is -14.7 eV per cell. The value obtained for the density of states at the Fermi level is 1.9 states/eV/f.u. As for the distance to the lowest polymorph of the same formula: 246 meV/atom.

Cell and atoms, written as POSCAR:
```
CdSi3
1.0
-3.150 -1.167 -3.506
2.837 -0.224 -3.935
0.659 -2.253 4.251
Cd Si
1 3
direct
0.000 0.000 0.000 Cd
0.250 0.750 0.500 Si
0.500 0.500 0.000 Si
0.750 0.250 0.500 Si
```



6.
A geometry-optimized Cd3Si5 structure. Source: Alexandria via LeMat-Bulk, functional GGA-PBE.

## Properties
The raw formation energy is 0.409 eV per atom. The total magnetization comes out at 0.000 μB per formula unit. The energy is -53.2 eV per cell. The value obtained for the density of states at the Fermi level is 1.9 states/eV/f.u. As for the distance to the lowest polymorph of the same formula: 31 meV/atom.

Cell and atoms, written as POSCAR:
```
Cd3Si5
1.0
-2.034 -2.586 -7.331
-2.719 -1.459 7.420
-4.546 5.335 -0.619
Si Cd
10 6
direct
0.249 0.749 0.545 Si
0.750 0.250 0.456 Si
0.550 0.862 0.301 Si
0.449 0.138 0.700 Si
0.861 0.550 0.700 Si
0.138 0.449 0.301 Si
0.638 0.949 0.700 Si
0.362 0.050 0.301 Si
0.949 0.638 0.301 Si
0.050 0.361 0.700 Si
0.750 0.750 0.000 Cd
0.250 0.250 0.000 Cd
0.251 0.751 0.980 Cd
0.751 0.251 0.021 Cd
0.248 0.248 0.500 Cd
0.748 0.748 0.500 Cd
```



7.
A geometry-optimized Cd2Si structure. Source: Alexandria via LeMat-Bulk, functional GGA-PBE.

## Properties
The raw formation energy is 0.286 eV per atom. The total magnetization comes out at 0.000 μB per formula unit. The energy is -6.4 eV per cell. The value obtained for the density of states at the Fermi level is 0.6 states/eV/f.u.

Cell and atoms, written as POSCAR:
```
Cd2Si
1.0
8.413 -0.015 -0.009
7.908 2.872 -0.009
7.908 1.384 2.517
Cd Si
2 1
direct
0.225 0.225 0.225 Cd
0.775 0.775 0.775 Cd
0.000 0.000 0.000 Si
```



8.
A geometry-optimized Cd5Si3 structure. Source: Alexandria via LeMat-Bulk, functional GGA-PBE.

## Properties
The raw formation energy is 0.407 eV per atom. The total magnetization comes out at 0.000 μB per formula unit. The energy is -17.6 eV per cell. The value obtained for the density of states at the Fermi level is 3.5 states/eV/f.u. As for the distance to the lowest polymorph of the same formula: 83 meV/atom.

Cell and atoms, written as POSCAR:
```
Cd5Si3
1.0
3.858 0.000 0.000
0.000 3.858 0.000
0.000 0.000 11.225
Cd Si
5 3
direct
0.000 0.000 0.000 Cd
0.000 0.000 0.245 Cd
0.000 0.000 0.755 Cd
0.500 0.500 0.374 Cd
0.500 0.500 0.626 Cd
0.000 0.000 0.500 Si
0.500 0.500 0.115 Si
0.500 0.500 0.885 Si
```



9.
A geometry-optimized Cd2Si structure. Source: Alexandria via LeMat-Bulk, functional GGA-PBE.

## Properties
The raw formation energy is 0.336 eV per atom. The total magnetization comes out at 0.000 μB per formula unit. The energy is -6.2 eV per cell. The value obtained for the density of states at the Fermi level is 2.0 states/eV/f.u.

Cell and atoms, written as POSCAR:
```
Cd2Si
1.0
4.397 0.000 0.000
0.000 4.397 0.000
0.000 0.000 3.575
Cd Si
2 1
direct
0.000 0.500 0.500 Cd
0.500 0.000 0.500 Cd
0.000 0.000 0.000 Si
```



10.
A geometry-optimized CdSi3 structure. Source: Alexandria via LeMat-Bulk, functional GGA-PBE.

## Properties
The raw formation energy is 0.394 eV per atom. The total magnetization comes out at 0.000 μB per formula unit. The energy is -31.2 eV per cell. The value obtained for the density of states at the Fermi level is 1.4 states/eV/f.u. As for the distance to the lowest polymorph of the same formula: 18 meV/atom.

Cell and atoms, written as POSCAR:
```
CdSi3
1.0
3.893 -5.755 0.000
3.893 5.755 0.000
0.000 0.000 3.425
Cd Si
2 6
direct
0.603 0.397 0.250 Cd
0.397 0.603 0.750 Cd
0.079 0.921 0.750 Si
0.921 0.079 0.250 Si
0.970 0.362 0.750 Si
0.030 0.638 0.250 Si
0.638 0.030 0.750 Si
0.362 0.970 0.250 Si
```



11.
A geometry-optimized CdSi2 structure. Source: Alexandria via LeMat-Bulk, functional GGA-PBE.

## Properties
The raw formation energy is 0.407 eV per atom. The total magnetization comes out at 0.000 μB per formula unit. The energy is -10.5 eV per cell. The value obtained for the density of states at the Fermi level is 0.5 states/eV/f.u. As for the distance to the lowest polymorph of the same formula: 69 meV/atom.

Cell and atoms, written as POSCAR:
```
CdSi2
1.0
-4.983 -2.635 2.335
-4.360 -4.265 0.166
1.193 -2.464 2.194
Cd Si
1 2
direct
0.500 0.500 0.500 Cd
0.194 0.194 0.801 Si
0.806 0.806 0.199 Si
```



12.
A geometry-optimized CdSi2 structure. Source: Alexandria via LeMat-Bulk, functional GGA-PBE.

## Properties
The raw formation energy is 0.377 eV per atom. The total magnetization comes out at 0.000 μB per formula unit. The energy is -10.6 eV per cell. The value obtained for the density of states at the Fermi level is 1.2 states/eV/f.u. As for the distance to the lowest polymorph of the same formula: 39 meV/atom.

Cell and atoms, written as POSCAR:
```
CdSi2
1.0
3.486 0.000 0.000
0.000 3.486 0.000
0.000 0.000 4.863
Cd Si
1 2
direct
0.000 0.000 0.000 Cd
0.000 0.500 0.500 Si
0.500 0.000 0.500 Si
```



13.
A geometry-optimized Cd2Si structure. Source: Alexandria via LeMat-Bulk, functional GGA-PBE.

## Properties
The raw formation energy is 0.351 eV per atom. The total magnetization comes out at 0.000 μB per formula unit. The energy is -6.2 eV per cell. The value obtained for the density of states at the Fermi level is 1.1 states/eV/f.u.

Cell and atoms, written as POSCAR:
```
Cd2Si
1.0
-2.846 -0.863 -0.883
1.840 -1.557 1.953
-3.222 4.143 6.338
Cd Si
2 1
direct
0.970 0.030 0.812 Cd
0.970 0.030 0.188 Cd
0.393 0.607 0.500 Si
```



14.
A geometry-optimized CdSi2 structure. Source: Alexandria via LeMat-Bulk, functional GGA-PBE.

## Properties
The raw formation energy is 0.338 eV per atom. The total magnetization comes out at 0.000 μB per formula unit. The energy is -21.5 eV per cell. The value obtained for the density of states at the Fermi level is 0.7 states/eV/f.u. As for the distance to the lowest polymorph of the same formula: 0 meV/atom.

Cell and atoms, written as POSCAR:
```
CdSi2
1.0
1.421 6.756 1.315
-1.421 6.756 1.315
0.000 2.260 6.932
Cd Si
2 4
direct
0.989 0.989 0.126 Cd
0.289 0.289 0.152 Cd
0.654 0.654 0.786 Si
0.623 0.623 0.492 Si
0.970 0.970 0.505 Si
0.308 0.308 0.773 Si
```